1.
This record from Alexandria describes a relaxed structure of CuP4S3I. The functional is PBEsol.

Cell lengths 11.4020, 11.4020, 10.2715 Å; angles 90.00, 90.00, 140.60 degrees
With the nearest neighbours (Å) after each atom.
Atoms (fractional coordinates):
Cu 0.1890 0.1890 0.0000  2 P 2.24
Cu 0.3110 0.3110 0.5000  2 P 2.24
Cu 0.6890 0.6890 0.5000  2 P 2.24
Cu 0.8110 0.8110 0.0000  2 P 2.24
P 0.0626 0.2286 0.4546  1 S 2.09, 1 Cu 2.24, 2 P 2.24-2.27
P 0.1220 0.8780 0.7200  1 S 2.10, 2 P 2.27
P 0.2217 0.7783 0.4706  3 S 2.12
P 0.2286 0.0626 0.5454  1 S 2.09, 1 Cu 2.24, 2 P 2.24-2.27
P 0.2714 0.4374 0.0454  1 S 2.09, 1 Cu 2.24, 2 P 2.24-2.27
P 0.2783 0.7217 0.9706  3 S 2.12
P 0.3780 0.6220 0.2200  1 S 2.10, 2 P 2.27
P 0.4374 0.2714 0.9546  1 S 2.09, 1 Cu 2.24, 2 P 2.24-2.27
P 0.5626 0.7286 0.0454  1 S 2.09, 1 Cu 2.24, 2 P 2.24-2.27
P 0.6220 0.3780 0.7800  1 S 2.10, 2 P 2.27
P 0.7217 0.2783 0.0294  3 S 2.12
P 0.7286 0.5626 0.9546  1 S 2.09, 1 Cu 2.24, 2 P 2.24-2.27
P 0.7714 0.9374 0.4546  1 S 2.09, 1 Cu 2.24, 2 P 2.24-2.27
P 0.7783 0.2217 0.5294  3 S 2.12
P 0.8780 0.1220 0.2800  1 S 2.10, 2 P 2.27
P 0.9374 0.7714 0.5454  1 S 2.09, 1 Cu 2.24, 2 P 2.24-2.27
S 0.0492 0.3701 0.5674  2 P 2.09-2.12
S 0.1299 0.4508 0.9326  2 P 2.09-2.12
S 0.2177 0.7823 0.6772  2 P 2.10-2.12
S 0.2823 0.7177 0.1772  2 P 2.10-2.12
S 0.3701 0.0492 0.4326  2 P 2.09-2.12
S 0.4508 0.1299 0.0674  2 P 2.09-2.12
S 0.5492 0.8701 0.9326  2 P 2.09-2.12
S 0.6299 0.9508 0.5674  2 P 2.09-2.12
S 0.7177 0.2823 0.8228  2 P 2.10-2.12
S 0.7823 0.2177 0.3228  2 P 2.10-2.12
S 0.8701 0.5492 0.0674  2 P 2.09-2.12
S 0.9508 0.6299 0.4326  2 P 2.09-2.12
I 0.0326 0.9674 0.1967  2 Cu 2.59
I 0.4674 0.5326 0.6967  2 Cu 2.59
I 0.5326 0.4674 0.3033  2 Cu 2.59
I 0.9674 0.0326 0.8033  2 Cu 2.59

Computed properties:
DOS at the Fermi energy, states/eV per cell: 0.0
Formation energy without anion corrections, eV/f.u.: -1.48
E, eV/cell: -175.61
Symmetry: No. 64
Theoretical density, g cm⁻³: 3.2



2.
This record from Alexandria describes a relaxed structure of Ta2CuPI. The functional is PBEsol.

Cell lengths 5.0271, 5.0271, 4.4472 Å; angles 90.00, 90.00, 90.00 degrees
With the nearest neighbours (Å) after each atom.
Atoms (fractional coordinates):
Ta 0.0000 0.5000 0.0000  2 I 2.51
Ta 0.5000 0.0000 0.0000  2 I 2.51
Cu 0.0000 0.0000 0.5000  2 I 2.22
P 0.5000 0.5000 0.5000  8 Ta 3.36, 4 Cu 3.55
I 0.0000 0.0000 0.0000  2 Cu 2.22

Computed properties:
DOS at the Fermi energy, states/eV per cell: 5.5
Formation energy without anion corrections, eV/f.u.: 10.62
E, eV/cell: -26.38
Symmetry: No. 123
Theoretical density, g cm⁻³: 8.6



3.
This record from Alexandria describes a relaxed structure of CuSbPbI2. The functional is PBEsol.

Cell lengths 5.2586, 5.2586, 5.1852 Å; angles 90.00, 90.00, 90.00 degrees
With the nearest neighbours (Å) after each atom.
Atoms (fractional coordinates):
Cu 0.0000 0.0000 0.0000  2 Sb 2.59, 4 I 2.63
Sb 0.0000 0.0000 0.5000  2 Cu 2.59
Pb 0.5000 0.5000 0.5000  8 I 3.69, 4 Sb 3.72
I 0.0000 0.5000 0.0000  2 Cu 2.63
I 0.5000 0.0000 0.0000  2 Cu 2.63

Computed properties:
DOS at the Fermi energy, states/eV per cell: 3.0
Formation energy without anion corrections, eV/f.u.: 0.88
E, eV/cell: -15.55
Symmetry: No. 123
Theoretical density, g cm⁻³: 7.5